<a>
A relaxed PtBr3Cl crystal. Source: Alexandria via LeMat-Bulk, functional PBE-GGA.

a = 8.477 Å, b = 8.477 Å, c = 6.452 Å
α = 103.15°, β = 103.15°, γ = 125.81°
Sites, in units of the cell vectors:
Pt  0.060  0.940  0.500
Pt  0.940  0.060  0.000
Br  0.048  0.396  0.986
Br  0.147  0.266  0.447
Br  0.266  0.147  0.947
Br  0.396  0.048  0.486
Br  0.731  0.852  0.553
Br  0.852  0.731  0.053
Cl  0.626  0.960  0.018
Cl  0.960  0.626  0.518

Its spin magnetization is 0.000 μB/f.u. As for the volume: 325.74 Å³ per cell.

<b>
A relaxed PtBr3Cl crystal. Source: Alexandria via LeMat-Bulk, functional PBE-GGA.

a = 5.124 Å, b = 5.124 Å, c = 5.124 Å
α = 90.00°, β = 90.00°, γ = 90.00°
Sites, in units of the cell vectors:
Pt  0.000  0.000  0.000
Br  0.000  0.000  0.500
Br  0.000  0.500  0.000
Br  0.500  0.000  0.000
Cl  0.500  0.500  0.500

Its spin magnetization is 0.904 μB/f.u. As for the volume: 134.54 Å³ per cell.

<c>
A relaxed PtBr3Cl crystal. Source: Alexandria via LeMat-Bulk, functional PBE-GGA.

a = 5.239 Å, b = 5.239 Å, c = 5.239 Å
α = 90.00°, β = 90.00°, γ = 90.00°
Sites, in units of the cell vectors:
Pt  0.000  0.000  0.000
Br  0.000  0.500  0.500
Br  0.500  0.000  0.500
Br  0.500  0.500  0.000
Cl  0.500  0.500  0.500

Its spin magnetization is 1.051 μB/f.u. As for the volume: 143.79 Å³ per cell.

Which is most stable, and by how much? <a>, by 0.520 eV/atom.

<a>
A relaxed PtBrCl3 crystal. Source: Alexandria via LeMat-Bulk, functional PBE-GGA.

a = 8.097 Å, b = 8.097 Å, c = 6.171 Å
α = 96.35°, β = 96.35°, γ = 128.24°
Sites, in units of the cell vectors:
Pt  0.060  0.940  0.500
Pt  0.940  0.060  0.000
Br  0.607  0.966  0.089
Br  0.966  0.607  0.589
Cl  0.030  0.372  0.910
Cl  0.132  0.251  0.372
Cl  0.251  0.132  0.872
Cl  0.372  0.030  0.410
Cl  0.752  0.866  0.627
Cl  0.866  0.752  0.127

Its spin magnetization is 0.000 μB/f.u. As for the volume: 307.43 Å³ per cell.

<b>
A relaxed PtBrCl3 crystal. Source: Alexandria via LeMat-Bulk, functional PBE-GGA.

a = 4.872 Å, b = 4.872 Å, c = 4.872 Å
α = 90.00°, β = 90.00°, γ = 90.00°
Sites, in units of the cell vectors:
Pt  0.000  0.000  0.000
Br  0.500  0.500  0.500
Cl  0.000  0.000  0.500
Cl  0.000  0.500  0.000
Cl  0.500  0.000  0.000

Its spin magnetization is 0.000 μB/f.u. As for the volume: 115.66 Å³ per cell.

<c>
A relaxed PtBrCl3 crystal. Source: Alexandria via LeMat-Bulk, functional PBE-GGA.

a = 6.453 Å, b = 6.524 Å, c = 8.315 Å
α = 69.95°, β = 80.71°, γ = 76.50°
Sites, in units of the cell vectors:
Pt  0.000  0.000  0.000
Pt  0.482  0.129  0.773
Br  0.122  0.388  0.351
Br  0.335  0.048  0.545
Cl  0.138  0.323  0.855
Cl  0.355  0.820  0.995
Cl  0.570  0.450  0.575
Cl  0.649  0.192  0.988
Cl  0.795  0.915  0.696
Cl  0.875  0.679  0.152

Its spin magnetization is 0.000 μB/f.u. As for the volume: 318.47 Å³ per cell.

Which is most stable, and by how much? <a>, by 0.043 eV/atom.